# 1
First-principles (PBE-GGA) data for HoEr2Pt2 after structural relaxation, as listed in Alexandria.

Cell and atoms, written as CIF:
```
data_HoEr2Pt2
_chemical_formula_sum 'Ho2 Er4 Pt4'
_cell_length_a 7.677
_cell_length_b 7.677
_cell_length_c 3.949
_cell_angle_alpha 90.00
_cell_angle_beta 90.00
_cell_angle_gamma 90.00
_space_group_name_H-M_alt 'P 4/m b m'
_space_group_IT_number 127
_space_group_name_Hall '-P 4 2ab'
loop_
_atom_site_label
_atom_site_type_symbol
_atom_site_fract_x
_atom_site_fract_y
_atom_site_fract_z
Ho1 Ho 0.000 0.000 0.000
Er1 Er 0.160 0.340 0.500
Pt1 Pt 0.140 0.640 0.000
```

***

# 2
First-principles (PBE-GGA) data for Ho2Er3Pt4 after structural relaxation, as listed in Alexandria.

Cell and atoms, written as CIF:
```
data_Ho2Er3Pt4
_chemical_formula_sum 'Ho4 Er6 Pt8'
_cell_length_a 7.616
_cell_length_b 7.674
_cell_length_c 7.458
_cell_angle_alpha 90.00
_cell_angle_beta 109.89
_cell_angle_gamma 90.00
_space_group_name_H-M_alt 'P 1 21/c 1'
_space_group_IT_number 14
loop_
_space_group_symop_operation_xyz
'x,y,z'
'-x,-y,-z'
'-x,y+1/2,-z+1/2'
'x,-y+1/2,z+1/2'
loop_
_atom_site_label
_atom_site_type_symbol
_atom_site_fract_x
_atom_site_fract_y
_atom_site_fract_z
Ho1 Ho 0.193 0.180 0.071
Er1 Er 0.244 0.667 0.246
Er2 Er 0.500 0.000 0.500
Pt1 Pt 0.086 0.535 0.848
Pt2 Pt 0.487 0.137 0.867
```

***

# 3
First-principles (PBE-GGA) data for HoEr2Pt after structural relaxation, as listed in Alexandria.

Cell and atoms, written as CIF:
```
data_HoEr2Pt
_chemical_formula_sum 'Ho4 Er8 Pt4'
_cell_length_a 3.762
_cell_length_b 12.072
_cell_length_c 9.302
_cell_angle_alpha 90.00
_cell_angle_beta 90.00
_cell_angle_gamma 90.00
_space_group_name_H-M_alt 'C m c m'
_space_group_IT_number 63
_space_group_name_Hall '-C 2c 2'
loop_
_atom_site_label
_atom_site_type_symbol
_atom_site_fract_x
_atom_site_fract_y
_atom_site_fract_z
Ho1 Ho 0.000 0.069 0.250
Er1 Er 0.000 0.363 0.063
Pt1 Pt 0.000 0.242 0.750
```

***

# 4
First-principles (PBE-GGA) data for HoErPt2 after structural relaxation, as listed in Alexandria.

Cell and atoms, written as CIF:
```
data_HoErPt2
_chemical_formula_sum 'Ho1 Er1 Pt2'
_cell_length_a 4.928
_cell_length_b 4.928
_cell_length_c 3.442
_cell_angle_alpha 90.00
_cell_angle_beta 90.00
_cell_angle_gamma 90.00
_space_group_name_H-M_alt 'P 4/m m m'
_space_group_IT_number 123
_space_group_name_Hall '-P 4 2'
loop_
_atom_site_label
_atom_site_type_symbol
_atom_site_fract_x
_atom_site_fract_y
_atom_site_fract_z
Ho1 Ho 0.000 0.000 0.000
Er1 Er 0.500 0.500 0.000
Pt1 Pt 0.000 0.500 0.500
```

***

# 5
First-principles (PBE-GGA) data for HoEr3Pt2 after structural relaxation, as listed in Alexandria.

Cell and atoms, written as CIF:
```
data_HoEr3Pt2
_chemical_formula_sum 'Ho4 Er12 Pt8'
_cell_length_a 6.855
_cell_length_b 13.571
_cell_length_c 7.023
_cell_angle_alpha 90.00
_cell_angle_beta 90.00
_cell_angle_gamma 90.00
_space_group_name_H-M_alt 'I b a m'
_space_group_IT_number 72
_space_group_name_Hall '-I 2 2c'
loop_
_atom_site_label
_atom_site_type_symbol
_atom_site_fract_x
_atom_site_fract_y
_atom_site_fract_z
Ho1 Ho 0.000 0.000 0.000
Er1 Er 0.000 0.236 0.250
Er2 Er 0.000 0.500 0.250
Pt1 Pt 0.211 0.360 0.000
```

***

# 6
First-principles (PBE-GGA) data for HoEr4Pt2 after structural relaxation, as listed in Alexandria.

Cell and atoms, written as CIF:
```
data_HoEr4Pt2
_chemical_formula_sum 'Ho2 Er8 Pt4'
_cell_length_a 7.722
_cell_length_b 6.302
_cell_length_c 8.012
_cell_angle_alpha 90.00
_cell_angle_beta 112.56
_cell_angle_gamma 90.00
_space_group_name_H-M_alt 'P 1 21/m 1'
_space_group_IT_number 11
loop_
_space_group_symop_operation_xyz
'x,y,z'
'-x,-y,-z'
'-x,y+1/2,-z'
'x,-y+1/2,z'
loop_
_atom_site_label
_atom_site_type_symbol
_atom_site_fract_x
_atom_site_fract_y
_atom_site_fract_z
Ho1 Ho 0.153 0.250 0.026
Er1 Er 0.017 0.250 0.388
Er2 Er 0.248 0.750 0.345
Er3 Er 0.410 0.004 0.769
Pt1 Pt 0.246 0.750 0.991
Pt2 Pt 0.378 0.250 0.414
```

***

# 7
First-principles (PBE-GGA) data for Ho3Er4Pt4 after structural relaxation, as listed in Alexandria.

Cell and atoms, written as CIF:
```
data_Ho3Er4Pt4
_chemical_formula_sum 'Ho6 Er8 Pt8'
_cell_length_a 3.783
_cell_length_b 8.718
_cell_length_c 16.215
_cell_angle_alpha 90.00
_cell_angle_beta 90.00
_cell_angle_gamma 90.00
_space_group_name_H-M_alt 'I m m m'
_space_group_IT_number 71
_space_group_name_Hall '-I 2 2'
loop_
_atom_site_label
_atom_site_type_symbol
_atom_site_fract_x
_atom_site_fract_y
_atom_site_fract_z
Ho1 Ho 0.000 0.000 0.000
Ho2 Ho 0.000 0.500 0.099
Er1 Er 0.000 0.313 0.334
Pt1 Pt 0.000 0.000 0.255
Pt2 Pt 0.000 0.209 0.500
```

***

# 8
First-principles (PBE-GGA) data for HoErPt2 after structural relaxation, as listed in Alexandria.

Cell and atoms, written as CIF:
```
data_HoErPt2
_chemical_formula_sum 'Ho2 Er2 Pt4'
_cell_length_a 4.431
_cell_length_b 3.758
_cell_length_c 10.517
_cell_angle_alpha 90.00
_cell_angle_beta 90.00
_cell_angle_gamma 90.00
_space_group_name_H-M_alt 'A m m 2'
_space_group_IT_number 38
loop_
_space_group_symop_operation_xyz
'x,y,z'
'-x,-y,z'
'-x,y,z'
'x,-y,z'
'x,y+1/2,z+1/2'
'-x,-y+1/2,z+1/2'
'-x,y+1/2,z+1/2'
'x,-y+1/2,z+1/2'
loop_
_atom_site_label
_atom_site_type_symbol
_atom_site_fract_x
_atom_site_fract_y
_atom_site_fract_z
Ho1 Ho 0.000 0.000 0.000
Er1 Er 0.500 0.000 0.277
Pt1 Pt 0.000 0.000 0.727
Pt2 Pt 0.500 0.000 0.551
```

***

# 9
First-principles (PBE-GGA) data for Ho2ErPt3 after structural relaxation, as listed in Alexandria.

Cell and atoms, written as CIF:
```
data_Ho2ErPt3
_chemical_formula_sum 'Ho4 Er2 Pt6'
_cell_length_a 4.933
_cell_length_b 14.801
_cell_length_c 3.442
_cell_angle_alpha 90.00
_cell_angle_beta 90.00
_cell_angle_gamma 90.00
_space_group_name_H-M_alt 'P m m n'
_space_group_IT_number 59
loop_
_space_group_symop_operation_xyz
'x,y,z'
'-x,-y,-z'
'-x+1/2,-y+1/2,z'
'x+1/2,y+1/2,-z'
'x+1/2,-y,-z'
'-x+1/2,y,z'
'-x,y+1/2,-z'
'x,-y+1/2,z'
loop_
_atom_site_label
_atom_site_type_symbol
_atom_site_fract_x
_atom_site_fract_y
_atom_site_fract_z
Ho1 Ho 0.250 0.083 0.000
Er1 Er 0.250 0.750 0.001
Pt1 Pt 0.250 0.250 0.500
Pt2 Pt 0.250 0.584 0.501
```

***

# 10
First-principles (PBE-GGA) data for Ho2Er3Pt2 after structural relaxation, as listed in Alexandria.

Cell and atoms, written as CIF:
```
data_Ho2Er3Pt2
_chemical_formula_sum 'Ho4 Er6 Pt4'
_cell_length_a 12.164
_cell_length_b 3.730
_cell_length_c 8.977
_cell_angle_alpha 90.00
_cell_angle_beta 116.37
_cell_angle_gamma 90.00
_space_group_name_H-M_alt 'C 1 2/m 1'
_space_group_IT_number 12
loop_
_space_group_symop_operation_xyz
'x,y,z'
'-x,-y,-z'
'-x,y,-z'
'x,-y,z'
'x+1/2,y+1/2,z'
'-x+1/2,-y+1/2,-z'
'-x+1/2,y+1/2,-z'
'x+1/2,-y+1/2,z'
loop_
_atom_site_label
_atom_site_type_symbol
_atom_site_fract_x
_atom_site_fract_y
_atom_site_fract_z
Ho1 Ho 0.163 0.000 0.312
Er1 Er 0.000 0.500 0.500
Er2 Er 0.115 0.500 0.935
Pt1 Pt 0.174 0.000 0.738
```

***

# 11
First-principles (PBE-GGA) data for HoErPt4 after structural relaxation, as listed in Alexandria.

Cell and atoms, written as CIF:
```
data_HoErPt4
_chemical_formula_sum 'Ho4 Er4 Pt16'
_cell_length_a 7.667
_cell_length_b 7.667
_cell_length_c 7.667
_cell_angle_alpha 90.00
_cell_angle_beta 90.00
_cell_angle_gamma 90.00
_space_group_name_H-M_alt 'F -4 3 m'
_space_group_IT_number 216
_space_group_name_Hall 'F -4 2 3'
loop_
_atom_site_label
_atom_site_type_symbol
_atom_site_fract_x
_atom_site_fract_y
_atom_site_fract_z
Ho1 Ho 0.000 0.000 0.000
Er1 Er 0.250 0.250 0.750
Pt1 Pt 0.125 0.125 0.375
```

***

# 12
First-principles (PBE-GGA) data for HoEr3Pt2 after structural relaxation, as listed in Alexandria.

Cell and atoms, written as CIF:
```
data_HoEr3Pt2
_chemical_formula_sum 'Ho2 Er6 Pt4'
_cell_length_a 4.742
_cell_length_b 8.727
_cell_length_c 7.099
_cell_angle_alpha 90.00
_cell_angle_beta 90.00
_cell_angle_gamma 90.00
_space_group_name_H-M_alt 'P m c 21'
_space_group_IT_number 26
loop_
_space_group_symop_operation_xyz
'x,y,z'
'-x,-y,z+1/2'
'-x,y,z'
'x,-y,z+1/2'
loop_
_atom_site_label
_atom_site_type_symbol
_atom_site_fract_x
_atom_site_fract_y
_atom_site_fract_z
Ho1 Ho 0.000 0.082 0.000
Er1 Er 0.000 0.330 0.634
Er2 Er 0.500 0.170 0.346
Er3 Er 0.500 0.418 0.980
Pt1 Pt 0.000 0.344 0.232
Pt2 Pt 0.500 0.157 0.748
```

***

Short version: formation enthalpy at 0 K = -1100, -1207, -697, -1255, -876, -724, -945, -1304, -1252, -813, -1127, -984 meV/atom, in the order given.